No. 1
Density functional theory data (GGA-PBE) for crystalline Mn2Al2Pt at its relaxed geometry.

Its formation energy is -0.1693 eV/atom. As for the calculated density: 8.8 Mg/m³. Its uncorrected energy is -6.5423 eV per atom.

Lattice parameters (Å, degrees): 6.9888 6.9888 2.7819 90.00 90.00 90.00
Fractional positions:
Mn1 0.3960 0.8960 0.0000
Mn2 0.8960 0.6040 0.0000
Mn3 0.6040 0.1040 0.0000
Mn4 0.1040 0.3960 0.0000
Al1 0.1906 0.6906 0.5000
Al2 0.6906 0.8094 0.5000
Al3 0.8094 0.3094 0.5000
Al4 0.3094 0.1906 0.5000
Pt1 0.0000 0.0000 0.0000
Pt2 0.5000 0.5000 0.0000

***

No. 2
Density functional theory data (GGA-PBE) for crystalline Mn2Al2Pt at its relaxed geometry.

Its formation energy is -0.2625 eV/atom. As for the calculated density: 8.0 Mg/m³. Its uncorrected energy is -6.6356 eV per atom.

Lattice parameters (Å, degrees): 6.5270 6.5270 3.5022 90.00 90.00 90.00
Fractional positions:
Mn1 0.1545 0.6545 0.5000
Mn2 0.6545 0.8455 0.5000
Mn3 0.8455 0.3455 0.5000
Mn4 0.3455 0.1545 0.5000
Al1 0.3586 0.8586 0.0000
Al2 0.8586 0.6414 0.0000
Al3 0.6414 0.1414 0.0000
Al4 0.1414 0.3586 0.0000
Pt1 0.0000 0.0000 0.0000
Pt2 0.5000 0.5000 0.0000

***

No. 3
Density functional theory data (GGA-PBE) for crystalline Mn2AlPt at its relaxed geometry.

Its formation energy is -0.3022 eV/atom. As for the calculated density: 9.8 Mg/m³. Its uncorrected energy is -7.3328 eV per atom.

Lattice parameters (Å, degrees): 2.7801 3.7694 5.3774 90.00 90.00 90.00
Fractional positions:
Mn1 0.0000 0.0000 0.9953
Mn2 0.0000 0.0000 0.5047
Al1 0.5000 0.5000 0.7500
Pt1 0.5000 0.5000 0.2500

***

No. 4
Density functional theory data (GGA-PBE) for crystalline MnAlPt6 at its relaxed geometry.

Its formation energy is -0.5224 eV/atom. As for the calculated density: 17.2 Mg/m³. Its uncorrected energy is -6.6670 eV per atom.

Lattice parameters (Å, degrees): 3.9303 3.9303 7.8318 90.00 90.00 90.00
Fractional positions:
Mn1 0.0000 0.0000 0.5000
Al1 0.0000 0.0000 0.0000
Pt1 0.5000 0.5000 0.0000
Pt2 0.5000 0.5000 0.5000
Pt3 0.5000 0.0000 0.2484
Pt4 0.5000 0.0000 0.7516
Pt5 0.0000 0.5000 0.2484
Pt6 0.0000 0.5000 0.7516

***

No. 5
Density functional theory data (GGA-PBE) for crystalline Mn2AlPt at its relaxed geometry.

Its formation energy is -0.3956 eV/atom. As for the calculated density: 10.3 Mg/m³. Its uncorrected energy is -7.4263 eV per atom.

Lattice parameters (Å, degrees): 3.0098 3.0098 5.8919 90.00 90.00 90.00
Fractional positions:
Mn1 0.0000 0.0000 0.0096
Mn2 0.5000 0.5000 0.2246
Al1 0.5000 0.5000 0.7600
Pt1 0.0000 0.0000 0.5058

***

No. 6
Density functional theory data (GGA-PBE) for crystalline Mn3AlPt12 at its relaxed geometry.

Its formation energy is -0.4455 eV/atom. As for the calculated density: 17.4 Mg/m³. Its uncorrected energy is -6.9293 eV per atom.

Lattice parameters (Å, degrees): 3.9312 3.9312 15.6820 90.00 90.00 90.00
Fractional positions:
Mn1 0.0000 0.0000 0.2494
Mn2 0.0000 0.0000 0.5000
Mn3 0.0000 0.0000 0.7506
Al1 0.0000 0.0000 0.0000
Pt1 0.5000 0.5000 0.0000
Pt2 0.5000 0.5000 0.2491
Pt3 0.5000 0.5000 0.5000
Pt4 0.5000 0.5000 0.7509
Pt5 0.5000 0.0000 0.1239
Pt6 0.5000 0.0000 0.3748
Pt7 0.5000 0.0000 0.6252
Pt8 0.5000 0.0000 0.8761
Pt9 0.0000 0.5000 0.1239
Pt10 0.0000 0.5000 0.3748
Pt11 0.0000 0.5000 0.6252
Pt12 0.0000 0.5000 0.8761